# TcRh2Cl

A relaxed structure of TcRh2Cl (PBE, Alexandria via LeMat-Bulk).

The value obtained for the calculated volume is 118 Å³/cell. Its energy relative to the elements, uncorrected is 0.687 eV/atom.

It has space group I-4m2 (No. 119), with a = 4.2431 Å, b = 4.2431 Å, c = 6.5560 Å, α = 90.00°, β = 90.00° and γ = 90.00°. The asymmetric unit holds Tc at (0.0000, 0.0000, 0.0000), Rh at (0.0000, 0.0000, 0.5000), Rh at (0.0000, 0.5000, 0.2500) and Cl at (0.0000, 0.5000, 0.7500).